This record from Alexandria describes NpTe2Pd after structural relaxation. The functional is PBE.

Output
Formation energy without anion corrections ... -0.4820 eV per atom
Space-group type ... Cm, No. 8

a b c (Å): 4.5710 4.5714 7.7463
angles (deg): 73.65 73.69 59.98
Each line ends with the local moment (μB).
Sites, in units of the cell vectors:
Np 0.8607 0.3059 0.8129  3.61
Te 0.2642 0.7099 0.5911  -0.11
Te 0.4397 0.8842 0.0903  -0.10
Pd 0.1399 0.5846 0.9841  -0.12